Material: Al2InP
Method: DFT, PBE-GGA
State: relaxed

As for the total energy: -46.595 eV per cell.

The space group is R3m (No. 160, hexagonal axes) and the conventional cell measures 3.6493, 3.6493 and 21.6477 Å, with angles of 90.00, 90.00 and 120.00 degrees. Symmetry generates all atoms from Al at (0.0000, 0.0000, 0.0000), Al at (0.0000, 0.0000, 0.2423), In at (0.0000, 0.0000, 0.4758) and P at (0.0000, 0.0000, 0.7207).